DFT (SCAN) results for Tb2Ge2Ru at its PBEsol-relaxed geometry.

POSCAR file:
```
Tb2Ge2Ru
1.0
4.238 0.000 0.000
2.119 5.346 -0.008
2.119 0.500 8.879
Ru Ge Tb
2 4 4
Direct
0.273 0.082 0.373
0.727 0.918 0.627
0.646 0.275 0.434
0.510 0.855 0.125
0.354 0.725 0.566
0.490 0.145 0.875
0.998 0.330 0.674
0.815 0.258 0.111
0.002 0.670 0.326
0.185 0.742 0.889
```

Results
Total magnetization: 0.00 μB per cell
Energy of formation from the pure elements: -0.9054 eV per atom
Symmetry: C2/m